# 1
Pu2BiPd2: relaxed, PBE.

a = 4.925 Å, b = 4.925 Å, c = 5.970 Å
α = 65.64°, β = 65.64°, γ = 60.00°
Site moments in Bohr magnetons follow the coordinates.
Element x y z (fractional)
Pu1 0.711 0.711 0.868  5.37
Pu2 0.289 0.289 0.132  5.37
Bi1 0.500 0.500 0.500  -0.10
Pd1 0.911 0.911 0.266  -0.07
Pd2 0.089 0.089 0.734  -0.07

Energy relative to the lowest polymorph listed for this composition (meV per atom): 27
Total magnetization (μB per cell): 10.9
Calculated density (Mg/m³): 13.702
Symmetry: No. 166
ΔH_f (0 K) (eV per atom): -0.469


# 2
PuBi3Pd12: relaxed, PBE.

a = 4.151 Å, b = 4.151 Å, c = 16.491 Å
α = 90.00°, β = 90.00°, γ = 90.00°
Site moments in Bohr magnetons follow the coordinates.
Element x y z (fractional)
Pu1 0.000 0.000 0.000  4.83
Bi1 0.000 0.000 0.250  0.02
Bi2 0.000 0.000 0.500  0.01
Bi3 0.000 0.000 0.750  0.02
Pd1 0.500 0.500 0.000  -0.07
Pd2 0.500 0.500 0.252  0.01
Pd3 0.500 0.500 0.500  0.02
Pd4 0.500 0.500 0.748  0.01
Pd5 0.500 0.000 0.124  -0.04
Pd6 0.500 0.000 0.376  0.02
Pd7 0.500 0.000 0.624  0.02
Pd8 0.500 0.000 0.876  -0.04
Pd9 0.000 0.500 0.124  -0.04
Pd10 0.000 0.500 0.376  0.02
Pd11 0.000 0.500 0.624  0.02
Pd12 0.000 0.500 0.876  -0.04

Total magnetization (μB per cell): 4.9
Calculated density (Mg/m³): 12.554
Symmetry: No. 123
ΔH_f (0 K) (eV per atom): -0.313


# 3
Pu2BiPd: relaxed, PBE.

a = 4.320 Å, b = 4.320 Å, c = 7.566 Å
α = 73.41°, β = 73.41°, γ = 60.00°
Site moments in Bohr magnetons follow the coordinates.
Element x y z (fractional)
Bi1 0.500 0.500 0.500  -0.21
Pd1 0.000 0.000 0.000  -0.11
Pu1 0.261 0.261 0.216  5.29
Pu2 0.739 0.739 0.784  5.29

Energy relative to the lowest polymorph listed for this composition (meV per atom): 151
Total magnetization (μB per cell): 10.9
Calculated density (Mg/m³): 11.555
Symmetry: No. 166
ΔH_f (0 K) (eV per atom): -0.220


# 4
Pu3BiPd12: relaxed, PBE.

a = 4.147 Å, b = 4.147 Å, c = 16.608 Å
α = 90.00°, β = 90.00°, γ = 90.00°
Site moments in Bohr magnetons follow the coordinates.
Element x y z (fractional)
Pu1 0.000 0.000 0.250  4.82
Pu2 0.000 0.000 0.500  -4.84
Pu3 0.000 0.000 0.750  4.82
Bi1 0.000 0.000 0.000  0.03
Pd1 0.500 0.500 0.000  0.01
Pd2 0.500 0.500 0.248  -0.07
Pd3 0.500 0.500 0.500  0.06
Pd4 0.500 0.500 0.752  -0.07
Pd5 0.500 0.000 0.125  -0.03
Pd6 0.500 0.000 0.374  -0.01
Pd7 0.500 0.000 0.626  -0.01
Pd8 0.500 0.000 0.875  -0.03
Pd9 0.000 0.500 0.125  -0.03
Pd10 0.000 0.500 0.374  -0.01
Pd11 0.000 0.500 0.626  -0.01
Pd12 0.000 0.500 0.875  -0.03

Total magnetization (μB per cell): 4.7
Calculated density (Mg/m³): 12.898
Symmetry: No. 123
ΔH_f (0 K) (eV per atom): -0.472